The following is a GGA-PBE calculation of crystalline Hg2TeSe at its relaxed geometry, from the Alexandria database.

Cell and atoms, written as extended XYZ:
```
8
Lattice="6.457 0.000 0.000 0.000 6.457 0.000 3.229 3.229 6.452" Properties=species:S:1:pos:R:3 pbc="T T T"
Te 0.000 0.000 0.000
Te 6.457 3.229 3.226
Hg 4.727 1.614 1.613
Hg 1.731 4.843 1.613
Hg 4.843 4.959 4.839
Hg 8.071 7.955 4.839
Se 3.229 3.229 0.000
Se 3.229 6.457 3.226
```

Calculated values
Electronic total energy (eV/atom): -1.99
Energy relative to the elements, uncorrected (eV per formula unit): -0.74
Magnetization (μB per atom): 0.000

---

The following is a GGA-PBE calculation of crystalline HgTeSe2 at its relaxed geometry, from the Alexandria database.

Cell and atoms, written as extended XYZ:
```
4
Lattice="-6.917 -0.998 5.322 -4.255 -3.755 6.706 -3.935 0.142 7.853" Properties=species:S:1:pos:R:3 pbc="T T T"
Te 0.000 0.000 0.000
Hg -7.553 -2.305 9.940
Se -13.523 -4.127 17.795
Se -1.584 -0.484 2.085
```

Calculated values
Electronic total energy (eV/atom): -2.50
Energy relative to the elements, uncorrected (eV per formula unit): 0.42
Magnetization (μB per atom): 0.000